Entry 1:
Material: MgHgSe4
Method: DFT, PBE-GGA
State: relaxed

POSCAR file:
```
MgHgSe4
1.0
0.000 4.128 4.128
4.128 0.000 4.128
4.128 4.128 0.000
Mg Hg Se
1 1 4
Direct
0.000 0.000 0.000 Mg
0.250 0.250 0.250 Hg
0.125 0.625 0.625 Se
0.625 0.125 0.625 Se
0.625 0.625 0.125 Se
0.625 0.625 0.625 Se
```

Output
Crystal system: cubic
Raw formation energy in eV/atom: 0.24
Magnetic moment in μB per formula unit: 0.00



Entry 2:
Material: Ac6LaDy
Method: DFT, PBE-GGA
State: relaxed

POSCAR file:
```
Ac6LaDy
1.0
17.380 0.000 0.000
0.000 6.424 0.000
-2.468 0.000 6.111
Ac La Dy
12 2 2
Direct
0.122 0.000 0.084 Ac
0.123 0.500 0.668 Ac
0.247 0.500 0.300 Ac
0.253 0.000 0.700 Ac
0.377 0.000 0.332 Ac
0.378 0.500 0.916 Ac
0.622 0.500 0.084 Ac
0.623 0.000 0.668 Ac
0.747 0.000 0.300 Ac
0.753 0.500 0.700 Ac
0.877 0.500 0.332 Ac
0.878 0.000 0.916 Ac
0.000 0.000 0.500 La
0.500 0.500 0.500 La
0.000 0.500 0.000 Dy
0.500 0.000 0.000 Dy
```

Output
Energy relative to the lowest polymorph listed for this composition in eV/atom: 0.080
DFT formation energy in meV/atom: 108
Crystal system: monoclinic
Magnetic moment in μB per formula unit: 0.00



Entry 3:
Material: La8Ni3OsI4
Method: DFT, PBE-GGA
State: relaxed

POSCAR file:
```
La8Ni3OsI4
1.0
7.266 -4.225 0.000
7.266 4.225 0.000
-4.855 0.000 8.257
La Ni Os I
8 3 1 4
Direct
0.225 0.732 0.685 La
0.226 0.226 0.686 La
0.268 0.775 0.315 La
0.275 0.275 0.320 La
0.725 0.725 0.680 La
0.732 0.225 0.685 La
0.774 0.774 0.314 La
0.775 0.268 0.315 La
0.000 0.500 0.500 Ni
0.500 0.000 0.500 Ni
0.500 0.500 0.500 Ni
0.000 0.000 0.500 Os
0.000 0.000 0.000 I
0.000 0.500 0.000 I
0.500 0.000 0.000 I
0.500 0.500 0.000 I
```

Output
Crystal system: monoclinic
Raw formation energy in eV/atom: -0.76
Magnetic moment in μB per formula unit: 0.00



Entry 4:
Material: Tm6NbO12
Method: DFT, PBE-GGA
State: relaxed

POSCAR file:
```
Tm6NbO12
1.0
4.856 2.804 3.074
-4.856 2.804 3.074
0.000 -5.608 3.074
Tm Nb O
6 1 12
Direct
0.111 0.639 0.805 Tm
0.195 0.889 0.361 Tm
0.361 0.195 0.889 Tm
0.639 0.805 0.111 Tm
0.805 0.111 0.639 Tm
0.889 0.361 0.195 Tm
0.500 0.500 0.500 Nb
0.065 0.322 0.915 O
0.085 0.935 0.678 O
0.192 0.545 0.425 O
0.322 0.915 0.065 O
0.425 0.192 0.545 O
0.455 0.575 0.808 O
0.545 0.425 0.192 O
0.575 0.808 0.455 O
0.678 0.085 0.935 O
0.808 0.455 0.575 O
0.915 0.065 0.322 O
0.935 0.678 0.085 O
```

Output
Crystal system: trigonal
Raw formation energy in eV/atom: -3.38
Magnetic moment in μB per formula unit: 1.14



Entry 5:
Material: Y5ScTl6
Method: DFT, PBE-GGA
State: relaxed

POSCAR file:
```
Y5ScTl6
1.0
4.600 -8.017 0.000
4.600 8.017 0.000
-3.081 0.000 4.355
Y Sc Tl
5 1 6
Direct
0.000 0.000 0.000 Y
0.166 0.834 0.500 Y
0.331 0.669 0.000 Y
0.669 0.331 0.000 Y
0.834 0.166 0.500 Y
0.500 0.500 0.500 Sc
0.092 0.419 0.255 Tl
0.260 0.260 0.759 Tl
0.419 0.092 0.255 Tl
0.581 0.908 0.745 Tl
0.740 0.740 0.241 Tl
0.908 0.581 0.745 Tl
```

Output
DFT formation energy in meV/atom: -350
Crystal system: monoclinic
Magnetic moment in μB per formula unit: 0.00



Entry 6:
Material: HgSbOs2
Method: DFT, PBE-GGA
State: relaxed

POSCAR file:
```
HgSbOs2
1.0
4.593 0.000 0.000
0.000 4.593 0.000
0.000 0.000 3.285
Hg Sb Os
1 1 2
Direct
0.000 0.000 0.000 Hg
0.500 0.500 0.000 Sb
0.000 0.500 0.500 Os
0.500 0.000 0.500 Os
```

Output
Energy relative to the lowest polymorph listed for this composition in eV/atom: 0.412
Crystal system: tetragonal
Raw formation energy in eV/atom: 0.91
Magnetic moment in μB per formula unit: 0.00



Entry 7:
Material: SbRuCl2
Method: DFT, PBE-GGA
State: relaxed

POSCAR file:
```
SbRuCl2
1.0
3.151 0.000 0.000
0.000 4.876 0.000
0.000 0.000 13.529
Sb Ru Cl
2 2 4
Direct
0.000 0.000 0.000 Sb
0.500 0.500 0.500 Sb
0.000 0.000 0.500 Ru
0.500 0.500 0.000 Ru
0.000 0.500 0.139 Cl
0.000 0.500 0.861 Cl
0.500 0.000 0.361 Cl
0.500 0.000 0.639 Cl
```

Output
Energy relative to the lowest polymorph listed for this composition in eV/atom: 0.158
Crystal system: orthorhombic
Raw formation energy in eV/atom: -0.02
Magnetic moment in μB per formula unit: 0.01



Entry 8:
Material: Sr2Y2Tl
Method: DFT, PBE-GGA
State: relaxed

POSCAR file:
```
Sr2Y2Tl
1.0
8.160 0.000 0.000
0.000 8.160 0.000
0.000 0.000 5.931
Sr Y Tl
4 4 2
Direct
0.166 0.334 0.000 Sr
0.334 0.834 0.000 Sr
0.666 0.166 0.000 Sr
0.834 0.666 0.000 Sr
0.149 0.649 0.500 Y
0.351 0.149 0.500 Y
0.649 0.851 0.500 Y
0.851 0.351 0.500 Y
0.000 0.000 0.500 Tl
0.500 0.500 0.500 Tl
```

Output
Energy relative to the lowest polymorph listed for this composition in eV/atom: 0.000
DFT formation energy in meV/atom: 86
Crystal system: tetragonal
Magnetic moment in μB per formula unit: 1.09